(1)
IrPbCl3 (meta-GGA SCAN, single point on PBEsol structure); calculated volume = 21.8 Å³/atom; SG = Pm-3m; uncorrected formation energy = -0.13 eV/atom; offset from the most stable computed form = 0.0 meV per atom
1.0
4.774 0.000 0.000
0.000 4.774 0.000
0.000 0.000 4.774
Ir Pb Cl
1 1 3
Cartesian
0.000 0.000 0.000
2.387 2.387 2.387
0.000 0.000 2.387
0.000 2.387 0.000
2.387 0.000 0.000

(2)
ScReIr2 (meta-GGA SCAN, single point on PBEsol structure); calculated volume = 15.0 Å³/atom; SG = Cmmm; formation enthalpy at 0 K = -546 meV per atom; offset from the most stable computed form = 0.0 meV per atom
1.0
2.813 -3.784 0.000
2.813 3.784 0.000
0.000 0.000 2.811
Sc Re Ir
1 1 2
Cartesian
0.000 0.000 0.000
2.813 0.000 0.000
1.407 1.892 1.405
1.407 -1.892 1.405

- Which of these has the lowest calculated volume?
  ScReIr2